Density functional theory data (GGA-PBE) for a relaxed structure of Tb7NdEr4.

## Properties
VASP energy = -4.622 eV/atom
V = 31.74 Å³/atom

Structure (POSCAR):
```
Tb7NdEr4
1.0
6.199 0.000 0.000
-0.002 7.163 0.000
-2.067 -0.003 8.577
Tb Nd Er
7 1 4
Direct
0.000 0.000 0.000
0.223 0.500 0.665
0.279 0.248 0.336
0.500 0.248 0.000
0.500 0.752 0.000
0.721 0.752 0.664
0.777 0.500 0.335
0.000 0.500 0.000
0.221 0.000 0.665
0.278 0.752 0.335
0.722 0.248 0.665
0.779 0.000 0.335
```

=====

Density functional theory data (GGA-PBE) for a relaxed structure of TbNdEr14.

## Properties
VASP energy = -4.572 eV/atom
V = 30.81 Å³/atom

Structure (POSCAR):
```
TbNdEr14
1.0
11.372 0.000 0.000
0.000 3.539 6.124
0.000 -3.539 6.124
Tb Nd Er
1 1 14
Direct
0.000 0.000 0.000
0.000 0.500 0.500
0.000 0.000 0.500
0.000 0.500 0.000
0.251 0.167 0.167
0.252 0.667 0.667
0.253 0.166 0.667
0.253 0.667 0.166
0.500 0.333 0.333
0.500 0.334 0.834
0.500 0.833 0.833
0.500 0.834 0.334
0.747 0.166 0.667
0.747 0.667 0.166
0.748 0.667 0.667
0.749 0.167 0.167
```

=====

Density functional theory data (GGA-PBE) for a relaxed structure of Tb6NdEr.

## Properties
VASP energy = -4.271 eV/atom
V = 35.33 Å³/atom

Structure (POSCAR):
```
Tb6NdEr
1.0
10.010 0.000 0.000
0.000 6.855 0.000
-2.032 0.000 8.238
Tb Nd Er
12 2 2
Direct
0.128 0.000 0.424
0.195 0.238 0.802
0.195 0.762 0.802
0.305 0.262 0.198
0.305 0.738 0.198
0.372 0.500 0.576
0.628 0.500 0.424
0.695 0.262 0.802
0.695 0.738 0.802
0.805 0.238 0.198
0.805 0.762 0.198
0.872 0.000 0.576
0.000 0.500 0.500
0.500 0.000 0.500
0.000 0.500 0.000
0.500 0.000 0.000
```

=====

Density functional theory data (GGA-PBE) for a relaxed structure of Tb7NdEr2.

## Properties
VASP energy = -3.942 eV/atom
V = 39.61 Å³/atom

Structure (POSCAR):
```
Tb7NdEr2
1.0
4.385 -7.991 0.000
4.385 7.991 0.000
0.000 0.000 5.652
Tb Nd Er
7 1 2
Direct
0.000 0.000 0.000
0.207 0.439 0.000
0.279 0.721 0.500
0.439 0.207 0.000
0.561 0.793 0.000
0.721 0.279 0.500
0.793 0.561 0.000
0.500 0.500 0.500
0.204 0.796 0.000
0.796 0.204 0.000
```

=====

Density functional theory data (GGA-PBE) for a relaxed structure of Tb7Nd2Er4.

## Properties
VASP energy = -4.443 eV/atom
V = 32.70 Å³/atom

Structure (POSCAR):
```
Tb7Nd2Er4
1.0
6.085 0.000 0.000
-3.042 5.270 0.000
0.000 0.000 13.260
Tb Nd Er
7 2 4
Direct
0.000 0.000 0.000
0.000 0.358 0.219
0.000 0.642 0.781
0.358 0.000 0.219
0.358 0.358 0.781
0.642 0.000 0.781
0.642 0.642 0.219
0.333 0.667 0.000
0.667 0.333 0.000
0.000 0.000 0.395
0.000 0.000 0.605
0.333 0.667 0.500
0.667 0.333 0.500
```

=====

Density functional theory data (GGA-PBE) for a relaxed structure of Tb5Nd6Er2.

## Properties
VASP energy = -4.584 eV/atom
V = 33.79 Å³/atom

Structure (POSCAR):
```
Tb5Nd6Er2
1.0
11.714 0.000 0.000
0.000 20.693 0.000
0.000 0.000 3.624
Tb Nd Er
10 12 4
Direct
0.000 0.000 0.000
0.091 0.273 0.000
0.197 0.555 0.000
0.303 0.055 0.000
0.409 0.773 0.000
0.500 0.500 0.000
0.591 0.227 0.000
0.697 0.945 0.000
0.803 0.445 0.000
0.909 0.727 0.000
0.061 0.419 0.500
0.084 0.132 0.500
0.173 0.863 0.000
0.327 0.363 0.000
0.416 0.632 0.500
0.439 0.919 0.500
0.561 0.081 0.500
0.584 0.368 0.500
0.673 0.637 0.000
0.827 0.137 0.000
0.916 0.868 0.500
0.939 0.581 0.500
0.166 0.710 0.500
0.334 0.210 0.500
0.666 0.790 0.500
0.834 0.290 0.500
```

=====

Question: Which formula does entry 3 have?
Answer: Tb6NdEr

=====

Question: The highest VASP energy belongs to which entry?
Answer: Tb7NdEr2